(1)
Entry from Alexandria via LeMat-Bulk: Nd2YPt9 after structural relaxation (GGA-PBE).

```
Nd2YPt9
1.0
5.448 0.000 0.000
2.724 4.718 0.000
2.724 1.573 8.948
Pt Y Nd
9 1 2
direct
0.586 0.081 0.748
0.500 0.500 0.500
0.414 0.414 0.252
0.414 0.919 0.252
0.586 0.586 0.748
0.919 0.414 0.252
0.333 0.333 0.001
0.667 0.667 0.999
0.081 0.586 0.748
0.000 0.000 0.000
0.139 0.139 0.584
0.861 0.861 0.416
```

E in eV per atom: -6.77
Fermi-level density of states in states/eV per cell: 10.13
Formation enthalpy at 0 K in eV per atom: -0.90

---

(2)
Entry from Alexandria via LeMat-Bulk: ScCoBIr2 after structural relaxation (GGA-PBE).

```
ScCoBIr2
1.0
-2.936 -1.771 -2.297
2.744 -2.756 -1.381
-0.902 -2.404 3.006
Ir Sc Co B
2 1 1 1
direct
0.500 0.000 0.000
0.000 0.500 0.000
0.500 0.500 0.500
0.000 0.000 0.500
0.000 0.000 0.000
```

E in eV per atom: -8.16
Fermi-level density of states in states/eV per cell: 1.67
Formation enthalpy at 0 K in eV per atom: -0.59

---

(3)
Entry from Alexandria via LeMat-Bulk: Zn6Ga8Ag after structural relaxation (GGA-PBE).

```
Zn6Ga8Ag
1.0
6.455 0.400 0.413
0.199 6.464 0.413
0.199 0.205 6.474
Ga Zn Ag
8 6 1
direct
0.164 0.615 0.952
0.836 0.385 0.048
0.385 0.048 0.836
0.952 0.164 0.615
0.230 0.230 0.230
0.770 0.770 0.770
0.615 0.952 0.164
0.048 0.836 0.385
0.201 0.469 0.566
0.566 0.201 0.469
0.531 0.434 0.799
0.799 0.531 0.434
0.469 0.566 0.201
0.434 0.799 0.531
0.000 0.000 0.000
```

E in eV per atom: -2.27
Fermi-level density of states in states/eV per cell: 4.30
Formation enthalpy at 0 K in eV per atom: 0.04
Energy relative to the lowest polymorph listed for this composition in eV per atom: 0.000